1.
# Li2CdPb, relaxed, DFT PBE-GGA
data_Li2CdPb
_space_group_name_H-M_alt 'P 1'
_space_group_IT_number 1
_space_group_name_Hall 'P 1'
_cell_length_a 9.741
_cell_length_b 9.741
_cell_length_c 9.741
_cell_angle_alpha 19.45
_cell_angle_beta 19.45
_cell_angle_gamma 19.45
loop_
_atom_site_label
_atom_site_fract_x
_atom_site_fract_y
_atom_site_fract_z
_atom_site_occupancy
Cd1 0.750 0.750 0.750 1
Li1 0.000 0.000 0.000 1
Li2 0.500 0.500 0.500 1
Pb1 0.250 0.250 0.250 1
# Uncorrected energy, eV/atom: -2.29
# Space group: No. 166
# D(E_F), states/eV/f.u.: 1.4
# Magnetization, μB/f.u.: 0.0

***

2.
# KBaAu, relaxed, DFT PBE-GGA
data_KBaAu
_space_group_name_H-M_alt 'P 1'
_space_group_IT_number 1
_space_group_name_Hall 'P 1'
_cell_length_a 4.730
_cell_length_b 4.730
_cell_length_c 7.685
_cell_angle_alpha 90.00
_cell_angle_beta 90.00
_cell_angle_gamma 120.00
loop_
_atom_site_label
_atom_site_fract_x
_atom_site_fract_y
_atom_site_fract_z
_atom_site_occupancy
Au1 0.000 0.000 0.012 1
Ba1 0.667 0.333 0.238 1
K1 0.333 0.667 0.750 1
# Uncorrected energy, eV/atom: -2.44
# Space group: No. 156
# D(E_F), states/eV/f.u.: 1.1
# Magnetization, μB/f.u.: 0.0

***

3.
# K3PrU2O9, relaxed, DFT PBE-GGA
data_K3PrU2O9
_space_group_name_H-M_alt 'P 1'
_space_group_IT_number 1
_space_group_name_Hall 'P 1'
_cell_length_a 6.207
_cell_length_b 6.207
_cell_length_c 7.612
_cell_angle_alpha 90.00
_cell_angle_beta 90.00
_cell_angle_gamma 120.00
loop_
_atom_site_label
_atom_site_fract_x
_atom_site_fract_y
_atom_site_fract_z
_atom_site_occupancy
K1 0.333 0.667 0.664 1
K2 0.000 0.000 0.000 1
K3 0.667 0.333 0.336 1
Pr1 0.000 0.000 0.500 1
U1 0.333 0.667 0.162 1
U2 0.667 0.333 0.838 1
O1 0.822 0.178 0.685 1
O2 0.822 0.644 0.685 1
O3 0.356 0.178 0.685 1
O4 0.644 0.822 0.315 1
O5 0.178 0.356 0.315 1
O6 0.178 0.822 0.315 1
O7 0.500 0.000 0.000 1
O8 0.000 0.500 0.000 1
O9 0.500 0.500 0.000 1
# ΔE_f (raw), eV per atom: -2.8530
# Space group: No. 164
# D(E_F), states/eV/f.u.: 0.0
# Magnetization, μB/f.u.: 0.0

***

4.
# NaYPb6, relaxed, DFT PBE-GGA
data_NaYPb6
_space_group_name_H-M_alt 'P 1'
_space_group_IT_number 1
_space_group_name_Hall 'P 1'
_cell_length_a 4.847
_cell_length_b 4.847
_cell_length_c 10.016
_cell_angle_alpha 90.00
_cell_angle_beta 90.00
_cell_angle_gamma 90.00
loop_
_atom_site_label
_atom_site_fract_x
_atom_site_fract_y
_atom_site_fract_z
_atom_site_occupancy
Na1 0.000 0.000 0.500 1
Y1 0.000 0.000 0.000 1
Pb1 0.500 0.500 0.000 1
Pb2 0.500 0.500 0.500 1
Pb3 0.500 0.000 0.251 1
Pb4 0.500 0.000 0.749 1
Pb5 0.000 0.500 0.251 1
Pb6 0.000 0.500 0.749 1
# Uncorrected energy, eV/atom: -3.96
# Space group: No. 123
# D(E_F), states/eV/f.u.: 2.6
# Magnetization, μB/f.u.: 0.0